A plane-wave DFT calculation with GGA-PBE was carried out for TaAgHg after structural relaxation.

Symmetry   F-43m
E above lowest polymorph   0.129 eV per atom
Size of the total moment   0.01 Bohr magnetons per cell
ΔH_f (0 K)   946 meV per atom

abc: 6.452 6.452 6.452
angles: 90.00 90.00 90.00
Element x y z (fractional)
Ta 0.000 0.000 0.000
Ta 0.000 0.500 0.500
Ta 0.500 0.000 0.500
Ta 0.500 0.500 0.000
Ag 0.250 0.250 0.750
Ag 0.250 0.750 0.250
Ag 0.750 0.250 0.250
Ag 0.750 0.750 0.750
Hg 0.250 0.250 0.250
Hg 0.250 0.750 0.750
Hg 0.750 0.250 0.750
Hg 0.750 0.750 0.250


A plane-wave DFT calculation with GGA-PBE was carried out for TmCd7 after structural relaxation.

Symmetry   Cmcm
Size of the total moment   0.00 Bohr magnetons per cell
ΔH_f (0 K)   -143 meV per atom

abc: 6.267 6.267 9.431
angles: 90.00 90.00 108.01
Element x y z (fractional)
Tm 0.023 0.977 0.750
Tm 0.977 0.023 0.250
Cd 0.099 0.498 0.750
Cd 0.213 0.787 0.019
Cd 0.213 0.787 0.481
Cd 0.292 0.292 0.000
Cd 0.292 0.292 0.500
Cd 0.415 0.585 0.250
Cd 0.498 0.099 0.250
Cd 0.502 0.901 0.750
Cd 0.585 0.415 0.750
Cd 0.708 0.708 0.000
Cd 0.708 0.708 0.500
Cd 0.787 0.213 0.519
Cd 0.787 0.213 0.981
Cd 0.901 0.502 0.250


A plane-wave DFT calculation with GGA-PBE was carried out for GdP2Ir8 after structural relaxation.

Symmetry   C2/m
Size of the total moment   0.01 Bohr magnetons per cell
DFT total energy   -0.6090 Ry/atom

abc: 6.182 6.182 9.105
angles: 123.94 123.94 37.30
Element x y z (fractional)
Gd 0.000 0.000 0.000
P 0.441 0.441 0.194
P 0.559 0.559 0.806
Ir 0.027 0.027 0.371
Ir 0.262 0.262 0.899
Ir 0.313 0.313 0.641
Ir 0.344 0.344 0.358
Ir 0.656 0.656 0.642
Ir 0.687 0.687 0.359
Ir 0.738 0.738 0.101
Ir 0.973 0.973 0.629


A plane-wave DFT calculation with GGA-PBE was carried out for Ni2BiB after structural relaxation.

Symmetry   C2/m
Size of the total moment   0.01 Bohr magnetons per cell
DFT total energy   -0.4002 Ry/atom

abc: 12.182 3.298 5.772
angles: 90.00 99.31 90.00
Element x y z (fractional)
Ni 0.185 0.000 0.395
Ni 0.186 0.500 0.893
Ni 0.314 0.000 0.107
Ni 0.315 0.500 0.605
Ni 0.685 0.500 0.395
Ni 0.686 0.000 0.893
Ni 0.814 0.500 0.107
Ni 0.815 0.000 0.605
Bi 0.000 0.000 0.000
Bi 0.000 0.500 0.500
Bi 0.500 0.000 0.500
Bi 0.500 0.500 0.000
B 0.249 0.500 0.250
B 0.251 0.000 0.750
B 0.749 0.000 0.250
B 0.751 0.500 0.750


> What is the formula in the fourth record?

Ni2BiB